A relaxed structure of FeAgGe2. Source: the Alexandria database, functional PBE.

## Properties
DOS(E_F) in states/eV/f.u.: 2.660
Energy of formation in eV per atom: 0.36
Raw total energy in eV per atom: -4.77
Energy relative to the lowest polymorph listed for this composition in kJ/mol of formula units: 100.9
Total magnetic moment in Bohr magnetons per cell: 2.63

abc: 4.533 4.533 4.533
angles: 60.00 60.00 60.00
Element x y z (fractional)
Fe: 0.000 0.000 0.000
Ag: 0.500 0.500 0.500
Ge: 0.250 0.250 0.250
Ge: 0.750 0.750 0.750